1.
A plane-wave DFT calculation with PBE was carried out for a relaxed InCoBr2 crystal.

Results
Raw formation energy   -0.15 eV per atom
Calculated volume   107.56 Å³/f.u.
E above lowest polymorph   0.09 eV per formula unit
Raw total energy   -3.45 eV/atom

a b c (Å): 7.939 7.939 6.827
angles (deg): 90.00 90.00 90.00
Space group I-42d (No. 122)
Unique sites:
In: 0.000 0.000 0.000 x4
Co: 0.000 0.000 0.500 x4
Br: 0.143 0.250 0.625 x8


2.
A plane-wave DFT calculation with PBE was carried out for a relaxed InCoBr2 crystal.

Results
Raw formation energy   0.08 eV per atom
Calculated volume   99.67 Å³/f.u.
E above lowest polymorph   1.01 eV per formula unit
Raw total energy   -3.22 eV/atom

a b c (Å): 3.387 3.387 8.689
angles (deg): 90.00 90.00 90.00
Space group P4mm (No. 99)
Unique sites:
In: 0.000 0.000 0.000 x1
Co: 0.500 0.500 0.759 x1
Br: 0.000 0.000 0.621 x1
Br: 0.500 0.500 0.213 x1


3.
A plane-wave DFT calculation with PBE was carried out for a relaxed InCoBr2 crystal.

Results
Raw formation energy   -0.01 eV per atom
Calculated volume   116.64 Å³/f.u.
E above lowest polymorph   0.67 eV per formula unit
Raw total energy   -3.31 eV/atom

a b c (Å): 3.497 7.159 9.319
angles (deg): 90.00 90.00 90.00
Space group Imm2 (No. 44)
Unique sites:
In: 0.000 0.000 0.000 x2
Co: 0.000 0.500 0.277 x2
Br: 0.000 0.000 0.597 x2
Br: 0.000 0.500 0.735 x2


4.
A plane-wave DFT calculation with PBE was carried out for a relaxed In3CoBr crystal.

Results
Raw formation energy   -0.19 eV per atom
Calculated volume   127.93 Å³/f.u.
E above lowest polymorph   0.00 eV per formula unit
Raw total energy   -3.59 eV/atom

a b c (Å): 5.039 5.039 5.039
angles (deg): 90.00 90.00 90.00
Space group Pm-3m (No. 221)
Unique sites:
In: 0.000 0.000 0.500 x3
Co: 0.000 0.000 0.000 x1
Br: 0.500 0.500 0.500 x1


5.
A plane-wave DFT calculation with PBE was carried out for a relaxed InCoBr3 crystal.

Results
Raw formation energy   0.33 eV per atom
Calculated volume   170.11 Å³/f.u.
Raw total energy   -2.64 eV/atom

a b c (Å): 5.541 5.541 5.541
angles (deg): 90.00 90.00 90.00
Space group Pm-3m (No. 221)
Unique sites:
In: 0.000 0.000 0.000 x1
Co: 0.500 0.500 0.500 x1
Br: 0.000 0.000 0.500 x3


6.
A plane-wave DFT calculation with PBE was carried out for a relaxed InCoBr2 crystal.

Results
Raw formation energy   -0.16 eV per atom
Calculated volume   127.20 Å³/f.u.
E above lowest polymorph   0.07 eV per formula unit
Raw total energy   -3.46 eV/atom

a b c (Å): 5.240 3.682 7.090
angles (deg): 90.00 111.58 90.00
Space group P2/m (No. 10)
Unique sites:
In: 0.000 0.000 0.000 x1
Co: 0.500 0.000 0.000 x1
Br: 0.368 0.500 0.739 x2